1.
## Na2AuSe (meta-GGA SCAN)

Data for Na2AuSe at its PBEsol-relaxed geometry.

Cell lengths 7.9576, 7.9576, 5.5987 Å; angles 90.00, 90.00, 90.00 degrees
Last column: nearest neighbours and their distance in Å.
Space group I-42d (No. 122)
Symmetry-distinct sites (fractional):
Na (0.2373, 0.2500, 0.1250)  2 Na 2.81, 2 Se 2.83, 2 Au 2.97
Au (0.0000, 0.0000, 0.5000)  2 Se 2.80, 4 Na 2.97
Se (0.0000, 0.0000, 0.0000)  2 Au 2.80, 4 Na 2.83

Results
Total magnetization in μB per formula unit: 0.00
Raw formation energy in eV/atom: -0.583

2.
## CaDyZn2 (meta-GGA SCAN)

Data for CaDyZn2 at its PBEsol-relaxed geometry.

Cell lengths 7.0738, 7.0738, 7.0738 Å; angles 90.00, 90.00, 90.00 degrees
Last column: nearest neighbours and their distance in Å.
Space group Fm-3m (No. 225)
Symmetry-distinct sites (fractional):
Ca (0.0000, 0.0000, 0.0000)  8 Zn 3.06
Dy (0.0000, 0.0000, 0.5000)  8 Zn 3.06
Zn (0.2500, 0.2500, 0.2500)  4 Dy 3.06, 4 Ca 3.06

Results
Total magnetization in μB per formula unit: 0.00
Formation energy in eV/atom: -0.350

3.
## TcPbW (meta-GGA SCAN)

Data for TcPbW at its PBEsol-relaxed geometry.

Cell lengths 4.5396, 4.5396, 2.9035 Å; angles 90.00, 90.00, 120.00 degrees
Last column: nearest neighbours and their distance in Å.
Space group P-6m2 (No. 187)
Symmetry-distinct sites (fractional):
Tc (0.0000, 0.0000, 0.0000)  3 Pb 2.62, 2 Tc 2.90
Pb (0.6667, 0.3333, 0.0000)  3 Tc 2.62, 2 Pb 2.90
W (0.3333, 0.6667, 0.5000)  2 W 2.90, 6 Tc 3.00, 6 Pb 3.00

Results
Total magnetization in μB per formula unit: 0.00
Formation energy in eV/atom: 0.936
ΔE to the lowest computed polymorph in meV per atom: 299

4.
## BeGaCl3 (meta-GGA SCAN)

Data for BeGaCl3 at its PBEsol-relaxed geometry.

Cell lengths 4.8190, 4.8190, 4.8190 Å; angles 90.00, 90.00, 90.00 degrees
Last column: nearest neighbours and their distance in Å.
Space group Pm-3m (No. 221)
Symmetry-distinct sites (fractional):
Be (0.0000, 0.0000, 0.0000)  12 Cl 3.41
Ga (0.5000, 0.5000, 0.5000)  6 Cl 2.41
Cl (0.0000, 0.5000, 0.5000)  2 Ga 2.41

Results
Total magnetization in μB per formula unit: 0.56
Raw formation energy in eV/atom: -0.110

5.
## Nb2FeWC (meta-GGA SCAN)

Data for Nb2FeWC at its PBEsol-relaxed geometry.

Cell lengths 4.8305, 4.8305, 4.2618 Å; angles 90.00, 90.00, 90.00 degrees
Last column: nearest neighbours and their distance in Å.
Space group P4/mmm (No. 123)
Symmetry-distinct sites (fractional):
Nb (0.0000, 0.5000, 0.0000)  2 W 2.42
Fe (0.0000, 0.0000, 0.5000)  2 W 2.13
W (0.0000, 0.0000, 0.0000)  2 Fe 2.13
C (0.5000, 0.5000, 0.5000)  8 Nb 3.22, 4 Fe 3.42

Results
Total magnetization in μB per formula unit: 1.67
Formation energy in eV/atom: 2.652

6.
## Ba5Ga2Se8 (meta-GGA SCAN)

Data for Ba5Ga2Se8 at its PBEsol-relaxed geometry.

Cell lengths 23.4265, 12.4252, 12.1542 Å; angles 90.00, 90.00, 90.00 degrees
Last column: nearest neighbours and their distance in Å.
Space group Cmce (No. 64)
Symmetry-distinct sites (fractional):
Ba (0.0966, 0.1574, 0.0052)  7 Se 3.17-3.46
Ba (0.0996, 0.0025, 0.3443)  7 Se 3.09-3.44, 1 Ga 3.43
Ba (0.2500, 0.2450, 0.7500)  10 Se 3.56-3.69
Ga (0.0000, 0.1868, 0.7304)  4 Se 2.37-2.50
Ga (0.2494, 0.0000, 0.5000)  4 Se 2.39-2.40
Se (0.0000, 0.0228, 0.8501)  1 Ga 2.50
Se (0.0000, 0.1461, 0.5299)  1 Ga 2.49
Se (0.0935, 0.2449, 0.2577)  1 Ga 2.37
Se (0.1866, 0.0006, 0.1527)  1 Ga 2.39
Se (0.1867, 0.1525, 0.5012)  1 Ga 2.40

Results
Total magnetization in μB per formula unit: 0.00
Raw formation energy in eV/atom: -1.797

7.
## AlIrIO2 (meta-GGA SCAN)

Data for AlIrIO2 at its PBEsol-relaxed geometry.

Cell lengths 3.8501, 3.8501, 5.4009 Å; angles 90.00, 90.00, 90.00 degrees
Last column: nearest neighbours and their distance in Å.
Space group P4/mmm (No. 123)
Symmetry-distinct sites (fractional):
Al (0.0000, 0.0000, 0.0000)  2 Ir 2.70, 4 I 2.72
Ir (0.0000, 0.0000, 0.5000)  4 O 1.93
I (0.5000, 0.5000, 0.0000)  4 Al 2.72
O (0.0000, 0.5000, 0.5000)  2 Ir 1.93

Results
Total magnetization in μB per formula unit: 0.00
Raw formation energy in eV/atom: -0.309

8.
## Co5Tc (meta-GGA SCAN)

Data for Co5Tc at its PBEsol-relaxed geometry.

Cell lengths 3.9767, 2.5118, 12.9547 Å; angles 90.00, 90.00, 90.00 degrees
Last column: nearest neighbours and their distance in Å.
Space group Amm2 (No. 38)
Symmetry-distinct sites (fractional):
Co (0.0000, 0.0000, 0.0000)  10 Co 2.46-2.58, 2 Tc 2.47
Co (0.0000, 0.0000, 0.3263)  8 Co 2.45-2.58, 4 Tc 2.48
Co (0.0000, 0.0000, 0.6639)  12 Co 2.43-2.51
Co (0.5000, 0.0000, 0.2150)  10 Co 2.41-2.51, 2 Tc 2.55
Co (0.5000, 0.0000, 0.5562)  10 Co 2.41-2.51, 2 Tc 2.53
Tc (0.5000, 0.0000, 0.8864)  10 Co 2.47-2.55, 2 Tc 2.51

Results
Total magnetization in μB per formula unit: 7.56
Formation energy in eV/atom: 0.151
ΔE to the lowest computed polymorph in meV per atom: 66